# 1
The following is a GGA-PBEsol calculation of a relaxed Tl2PRh crystal, from Alexandria via LeMat-Bulk.

Unit cell a=3.505 b=3.679 c=6.003 alpha=100.45 beta=90.00 gamma=90.00
Atoms (fractional coordinates):
Tl  0.000  0.990  0.754
Tl  0.000  0.010  0.246
P  0.500  0.500  0.500
Rh  0.500  0.500  0.000

## Properties
ΔE to the lowest computed polymorph in meV per atom: 522
Space-group type: P2/m (10)
Calculated formation energy in kJ/mol of atoms: 38.5

# 2
The following is a GGA-PBEsol calculation of a relaxed MoPdS2 crystal, from Alexandria via LeMat-Bulk.

Unit cell a=5.478 b=5.478 c=6.331 alpha=115.64 beta=115.64 gamma=90.00
Atoms (fractional coordinates):
Pd  0.250  0.750  0.500
Pd  0.000  0.000  0.000
Mo  0.750  0.250  0.500
Mo  0.500  0.500  0.000
S  0.388  0.875  0.250
S  0.125  0.138  0.750
S  0.625  0.612  0.750
S  0.862  0.375  0.250

## Properties
E_form (uncorrected) in kJ per mole of atoms: -25
Space-group type: I-42d (122)

# 3
The following is a GGA-PBEsol calculation of a relaxed In2FeHg crystal, from Alexandria via LeMat-Bulk.

Unit cell a=3.010 b=3.010 c=8.817 alpha=90.00 beta=90.00 gamma=90.00
Site moments in Bohr magnetons follow the coordinates.
Atoms (fractional coordinates):
Hg  0.500  0.500  0.705  -0.01
In  0.500  0.500  0.300  -0.01
In  0.000  0.000  0.992  -0.01
Fe  0.000  0.000  0.503  2.62

## Properties
Space-group type: P4mm (99)
Calculated formation energy in kJ/mol of atoms: 24.7

# 4
The following is a GGA-PBEsol calculation of a relaxed La3GaCuSe7 crystal, from Alexandria via LeMat-Bulk.

Unit cell a=6.079 b=10.550 c=10.550 alpha=120.00 beta=90.00 gamma=90.00
Atoms (fractional coordinates):
Se  0.150  0.484  0.911
Se  0.150  0.089  0.573
Se  0.650  0.516  0.089
Se  0.650  0.911  0.427
Se  0.616  0.333  0.667
Se  0.906  0.746  0.843
Se  0.906  0.157  0.902
Se  0.406  0.902  0.746
Se  0.406  0.254  0.157
Se  0.650  0.573  0.484
Se  0.150  0.427  0.516
Se  0.116  0.667  0.333
Se  0.406  0.843  0.098
Se  0.906  0.098  0.254
La  0.916  0.365  0.225
La  0.416  0.225  0.861
La  0.916  0.861  0.635
La  0.916  0.775  0.139
La  0.416  0.139  0.365
La  0.416  0.635  0.775
Ga  0.505  0.667  0.333
Ga  0.005  0.333  0.667
Cu  0.395  0.000  0.000
Cu  0.895  0.000  0.000

## Properties
E_form (uncorrected) in kJ per mole of atoms: -138
Space-group type: P6_3 (173)

# 5
The following is a GGA-PBEsol calculation of a relaxed Ni2AgTe crystal, from Alexandria via LeMat-Bulk.

Unit cell a=3.769 b=3.769 c=4.930 alpha=112.48 beta=112.48 gamma=90.00
Atoms (fractional coordinates):
Ni  0.750  0.250  0.500
Ni  0.000  0.000  0.000
Ag  0.250  0.750  0.500
Te  0.500  0.500  0.000

## Properties
E_form (uncorrected) in kJ per mole of atoms: 17
Space-group type: I-4m2 (119)

# 6
The following is a GGA-PBEsol calculation of a relaxed K5CuSb2 crystal, from Alexandria via LeMat-Bulk.

Unit cell a=5.890 b=5.890 c=9.883 alpha=72.66 beta=72.66 gamma=60.00
Atoms (fractional coordinates):
K  0.500  0.500  0.500
K  0.365  0.365  0.906
K  0.783  0.783  0.651
K  0.217  0.217  0.349
K  0.635  0.635  0.094
Sb  0.089  0.089  0.734
Sb  0.911  0.911  0.266
Cu  0.000  0.000  0.000

## Properties
E_form (uncorrected) in kJ per mole of atoms: -33
Space-group type: R-3m (166)

# 7
The following is a GGA-PBEsol calculation of a relaxed Ta2Mn4O9 crystal, from Alexandria via LeMat-Bulk.

Unit cell a=5.291 b=5.291 c=14.216 alpha=90.00 beta=90.00 gamma=120.00
Site moments in Bohr magnetons follow the coordinates.
Atoms (fractional coordinates):
Ta  0.000  0.000  0.858  0.20
Ta  0.000  0.000  0.142  0.20
Ta  0.000  0.000  0.642  0.20
Ta  0.000  0.000  0.358  0.20
O  0.339  0.027  0.085  0.08
O  0.973  0.661  0.585  0.08
O  0.661  0.973  0.915  0.08
O  0.312  0.973  0.415  0.08
O  0.027  0.688  0.915  0.08
O  0.339  0.312  0.585  0.08
O  0.000  0.721  0.250  0.08
O  0.027  0.339  0.415  0.08
O  0.000  0.279  0.750  0.08
O  0.688  0.661  0.085  0.08
O  0.312  0.339  0.915  0.08
O  0.279  0.279  0.250  0.08
O  0.721  0.000  0.250  0.08
O  0.661  0.688  0.415  0.08
O  0.721  0.721  0.750  0.08
O  0.973  0.312  0.085  0.08
O  0.279  0.000  0.750  0.08
O  0.688  0.027  0.585  0.08
Mn  0.333  0.667  0.805  4.42
Mn  0.333  0.667  0.305  4.42
Mn  0.667  0.333  0.981  4.42
Mn  0.333  0.667  0.019  4.42
Mn  0.667  0.333  0.481  4.42
Mn  0.333  0.667  0.519  4.42
Mn  0.667  0.333  0.195  4.42
Mn  0.667  0.333  0.695  4.42

## Properties
E_form (uncorrected) in kJ per mole of atoms: -191
Space-group type: P-3c1 (165)

# 8
The following is a GGA-PBEsol calculation of a relaxed CuSi2 crystal, from Alexandria via LeMat-Bulk.

Unit cell a=3.333 b=3.333 c=4.348 alpha=112.54 beta=112.54 gamma=90.00
Atoms (fractional coordinates):
Si  0.329  0.329  0.657
Si  0.671  0.671  0.343
Cu  0.000  0.000  0.000

## Properties
E_form (uncorrected) in kJ per mole of atoms: 25
Space-group type: I4/mmm (139)